1.
VASP calculation (PBE) on crystalline FeTcAg2 at its relaxed geometry.

Lattice parameters (Å, degrees): 4.409 4.409 4.409 60.00 60.00 60.00
Fractional coordinates of all 4 atoms:
Tc 0.500 0.500 0.500
Ag 0.250 0.250 0.250
Ag 0.750 0.750 0.750
Fe 0.000 0.000 0.000

Computed properties:
Theoretical density (g cm⁻³): 10.13
Size of the total moment (μB per atom): 0.000
DFT total energy (eV per cell): -20.51
SG: Fm-3m (225)
ΔE to the lowest computed polymorph (kJ/mol of formula units): 272

=====

2.
VASP calculation (PBE) on crystalline KMnNb2 at its relaxed geometry.

Lattice parameters (Å, degrees): 4.654 4.654 4.654 60.00 60.00 60.00
Fractional coordinates of all 4 atoms:
Nb 0.250 0.250 0.250
Nb 0.750 0.750 0.750
Mn 0.500 0.500 0.500
K 0.000 0.000 0.000

Computed properties:
Theoretical density (g cm⁻³): 6.52
Size of the total moment (μB per atom): 0.000
DFT total energy (eV per cell): -24.81
SG: Fm-3m (225)
ΔE to the lowest computed polymorph (kJ/mol of formula units): 0

=====

3.
VASP calculation (PBE) on crystalline Pm3Dy2Y2 at its relaxed geometry.

Lattice parameters (Å, degrees): 3.531 8.586 8.974 118.25 101.35 90.00
Fractional coordinates of all 7 atoms:
Pm 0.000 0.500 0.000
Pm 0.212 0.801 0.425
Pm 0.788 0.199 0.575
Dy 0.565 0.909 0.130
Dy 0.435 0.091 0.870
Y 0.855 0.676 0.710
Y 0.145 0.324 0.290

Computed properties:
Theoretical density (g cm⁻³): 6.67
Size of the total moment (μB per atom): 0.000
DFT total energy (eV per cell): -35.65
SG: C2/m (12)
ΔE to the lowest computed polymorph (kJ/mol of formula units): 61

=====

4.
VASP calculation (PBE) on crystalline Nb2InIrOs at its relaxed geometry.

Lattice parameters (Å, degrees): 4.805 4.879 4.805 90.00 90.00 90.00
Site moments in Bohr magnetons follow the coordinates.
Fractional coordinates of all 5 atoms:
Nb 0.000 0.000 0.500  -0.15
Nb 0.500 0.000 0.000  -0.13
Ir 0.000 0.000 0.000  -0.02
Os 0.500 0.500 0.500  0.75
In 0.000 0.500 0.000  -0.01

Computed properties:
Theoretical density (g cm⁻³): 10.07
Size of the total moment (μB per atom): 0.081
DFT total energy (eV per cell): -36.03
SG: P4/mmm (123)